Compound: Tl2CrCl
Source: Alexandria
Functional: PBE-GGA
Structure: relaxed

Unit cell a=9.9510 b=3.5135 c=6.0854 alpha=90.00 beta=95.44 gamma=90.00
Closest atoms and distances in Å follow each position.
Fractional coordinates of all 8 atoms:
Cr  0.3047  0.0000  0.7672  3 Cl 2.48
Cr  0.3047  0.5000  0.2672  3 Cl 2.48
Tl  0.8064  0.0000  0.8454  9 Tl 3.45-3.51
Tl  0.8064  0.5000  0.3454  9 Tl 3.45-3.51
Tl  0.5241  0.0000  0.1355  3 Cr 2.97-2.98
Tl  0.5241  0.5000  0.6355  3 Cr 2.97-2.98
Cl  0.1601  0.0000  0.4116  3 Cr 2.48
Cl  0.1601  0.5000  0.9116  3 Cr 2.48

Calculated values
Space group ... No. 8
Uncorrected formation energy ... -0.080 eV per atom

***

Compound: YCdRu2
Source: Alexandria
Functional: PBE-GGA
Structure: relaxed

Unit cell a=4.5660 b=2.9914 c=5.4848 alpha=86.45 beta=90.00 gamma=90.00
Closest atoms and distances in Å follow each position.
Fractional coordinates of all 4 atoms:
Cd  0.5000  0.7500  0.7500  4 Ru 2.87, 2 Cd 2.99, 4 Y 3.04-3.20
Ru  0.0000  0.9836  0.0313  4 Ru 2.70-2.99, 2 Y 2.72, 2 Cd 2.87
Ru  0.0000  0.5164  0.4687  4 Ru 2.70-2.99, 2 Y 2.72, 2 Cd 2.87
Y  0.5000  0.2500  0.2500  4 Ru 2.72, 2 Y 2.99, 2 Cd 3.04

Calculated values
ΔE_f ... 0.269 eV/atom
Space group ... No. 10

***

Compound: TaMnSiTc
Source: Alexandria
Functional: PBE-GGA
Structure: relaxed

Unit cell a=4.2752 b=4.2752 c=4.2752 alpha=60.00 beta=60.00 gamma=60.00
Closest atoms and distances in Å follow each position.
Fractional coordinates of all 4 atoms:
Si  0.7500  0.7500  0.7500  4 Mn 2.62, 4 Tc 2.62
Mn  0.5000  0.5000  0.5000  4 Si 2.62, 4 Ta 2.62
Tc  0.0000  0.0000  0.0000  4 Ta 2.62, 4 Si 2.62
Ta  0.2500  0.2500  0.2500  4 Mn 2.62, 4 Tc 2.62

Calculated values
Space group ... No. 216
Uncorrected formation energy ... -0.395 eV per atom

***

Compound: Li6ZnCl8
Source: Alexandria
Functional: PBE-GGA
Structure: relaxed

Unit cell a=7.3064 b=7.3064 c=7.3064 alpha=60.00 beta=60.00 gamma=60.00
Closest atoms and distances in Å follow each position.
Fractional coordinates of all 15 atoms:
Li  0.0000  0.5000  0.5000  6 Cl 2.58-2.59
Li  0.5000  0.0000  0.0000  6 Cl 2.58-2.59
Li  0.5000  0.5000  0.0000  6 Cl 2.58-2.59
Li  0.0000  0.0000  0.5000  6 Cl 2.58-2.59
Li  0.0000  0.5000  0.0000  6 Cl 2.58-2.59
Li  0.5000  0.0000  0.5000  6 Cl 2.58-2.59
Zn  0.0000  0.0000  0.0000  6 Cl 2.48
Cl  0.7500  0.7500  0.7500  6 Li 2.58
Cl  0.2500  0.2500  0.2500  6 Li 2.58
Cl  0.7597  0.2403  0.2403  1 Zn 2.48, 4 Li 2.59
Cl  0.2403  0.7597  0.7597  1 Zn 2.48, 4 Li 2.59
Cl  0.2403  0.2403  0.7597  1 Zn 2.48, 4 Li 2.59
Cl  0.7597  0.7597  0.2403  1 Zn 2.48, 4 Li 2.59
Cl  0.7597  0.2403  0.7597  1 Zn 2.48, 4 Li 2.59
Cl  0.2403  0.7597  0.2403  1 Zn 2.48, 4 Li 2.59

Calculated values
Space group ... No. 225
Uncorrected formation energy ... -1.663 eV per atom

***

Compound: Cs2IrPtI6
Source: Alexandria
Functional: PBE-GGA
Structure: relaxed

Unit cell a=7.9880 b=7.9880 c=7.9769 alpha=59.95 beta=59.95 gamma=90.00
Closest atoms and distances in Å follow each position.
Fractional coordinates of all 10 atoms:
Cs  0.7500  0.2500  0.5000  12 I 3.99
Cs  0.2500  0.7500  0.5000  12 I 3.99
I  0.2530  0.2530  0.4940  1 Ir 2.78, 1 Pt 2.85
I  0.7470  0.7470  0.5060  1 Ir 2.78, 1 Pt 2.85
I  0.2539  0.2539  0.0000  1 Ir 2.78, 1 Pt 2.87
I  0.7461  0.7461  0.0000  1 Ir 2.78, 1 Pt 2.87
I  0.7461  0.2539  0.0000  1 Ir 2.78, 1 Pt 2.87
I  0.2539  0.7461  0.0000  1 Ir 2.78, 1 Pt 2.87
Ir  0.5000  0.5000  0.0000  6 I 2.78
Pt  0.0000  0.0000  0.0000  6 I 2.85-2.87

Calculated values
Space group ... No. 139
Uncorrected formation energy ... -0.496 eV per atom

***

Compound: K2PmUSe6
Source: Alexandria
Functional: PBE-GGA
Structure: relaxed

Unit cell a=7.7281 b=7.8104 c=11.0313 alpha=90.00 beta=90.16 gamma=90.00
Closest atoms and distances in Å follow each position.
Fractional coordinates of all 20 atoms:
K  0.0073  0.9706  0.2503  8 Se 3.55-3.85
K  0.5073  0.5294  0.7503  8 Se 3.55-3.85
K  0.9927  0.0294  0.7497  8 Se 3.55-3.85
K  0.4927  0.4706  0.2497  8 Se 3.55-3.85
Pm  0.5000  0.0000  0.0000  6 Se 2.88-2.89
Pm  0.0000  0.5000  0.5000  6 Se 2.88-2.89
U  0.5000  0.0000  0.5000  6 Se 2.67-2.68
U  0.0000  0.5000  0.0000  6 Se 2.67-2.68
Se  0.2733  0.7076  0.0220  1 U 2.67, 1 Pm 2.89
Se  0.7733  0.7924  0.5220  1 U 2.67, 1 Pm 2.89
Se  0.7267  0.2924  0.9780  1 U 2.67, 1 Pm 2.89
Se  0.2267  0.2076  0.4780  1 U 2.67, 1 Pm 2.89
Se  0.2928  0.7272  0.4774  1 U 2.68, 1 Pm 2.89
Se  0.7928  0.7728  0.9774  1 U 2.68, 1 Pm 2.89
Se  0.7072  0.2728  0.5226  1 U 2.68, 1 Pm 2.89
Se  0.2072  0.2272  0.0226  1 U 2.68, 1 Pm 2.89
Se  0.9571  0.5067  0.2405  1 U 2.67, 1 Pm 2.88
Se  0.4571  0.9933  0.7405  1 U 2.67, 1 Pm 2.88
Se  0.0429  0.4933  0.7595  1 U 2.67, 1 Pm 2.88
Se  0.5429  0.0067  0.2595  1 U 2.67, 1 Pm 2.88

Calculated values
Space group ... No. 14
Uncorrected formation energy ... -1.194 eV per atom

***

Compound: LiGdThCo
Source: Alexandria
Functional: PBE-GGA
Structure: relaxed

Unit cell a=4.9641 b=4.9641 c=4.9641 alpha=60.00 beta=60.00 gamma=60.00
Closest atoms and distances in Å follow each position.
Fractional coordinates of all 4 atoms:
Gd  0.0000  0.0000  0.0000  4 Li 3.04, 4 Co 3.04
Co  0.2500  0.2500  0.2500  4 Gd 3.04, 4 Th 3.04
Th  0.5000  0.5000  0.5000  4 Co 3.04, 4 Li 3.04
Li  0.7500  0.7500  0.7500  4 Th 3.04, 4 Gd 3.04

Calculated values
ΔE_f ... 0.024 eV/atom
Space group ... No. 216

***

Compound: KBa2Cd3Sn4
Source: Alexandria
Functional: PBE-GGA
Structure: relaxed

Unit cell a=4.9934 b=4.9934 c=13.2519 alpha=90.00 beta=90.00 gamma=90.00
Closest atoms and distances in Å follow each position.
Fractional coordinates of all 10 atoms:
K  0.5000  0.5000  0.5000  4 Sn 3.25, 4 Cd 3.53
Ba  0.5000  0.0000  0.2316  4 Cd 3.78, 8 Sn 3.83-3.96
Ba  0.0000  0.5000  0.7684  4 Cd 3.78, 8 Sn 3.83-3.96
Cd  0.0000  0.0000  0.5000  4 Sn 3.25, 4 K 3.53
Cd  0.5000  0.0000  0.8711  5 Sn 2.83-3.03
Cd  0.0000  0.5000  0.1289  5 Sn 2.83-3.03
Sn  0.5000  0.5000  0.0000  4 Cd 3.03
Sn  0.0000  0.0000  0.0000  4 Cd 3.03
Sn  0.5000  0.0000  0.6572  1 Cd 2.83
Sn  0.0000  0.5000  0.3428  1 Cd 2.83

Calculated values
ΔE_f ... -0.308 eV/atom
Space group ... No. 115

***

Compound: KCd4
Source: Alexandria
Functional: PBE-GGA
Structure: relaxed

Unit cell a=5.7443 b=5.7443 c=5.7443 alpha=103.50 beta=103.50 gamma=122.21
Closest atoms and distances in Å follow each position.
Fractional coordinates of all 5 atoms:
Cd  0.7985  0.5008  0.2993  3 Cd 2.87-3.00
Cd  0.5008  0.2015  0.7023  3 Cd 2.87-3.00
Cd  0.2015  0.4992  0.7007  3 Cd 2.87-3.00
Cd  0.4992  0.7985  0.2977  3 Cd 2.87-3.00
K  0.0000  0.0000  0.0000  16 Cd 3.49-3.84

Calculated values
ΔE_f ... -0.042 eV/atom
Space group ... No. 87

***

Compound: CuSi2P
Source: Alexandria
Functional: PBE-GGA
Structure: relaxed

Unit cell a=5.5250 b=5.5250 c=6.2676 alpha=63.85 beta=63.85 gamma=90.00
Closest atoms and distances in Å follow each position.
Fractional coordinates of all 8 atoms:
P  0.5000  0.5000  0.0000  4 Si 2.31
P  0.2500  0.7500  0.5000  4 Si 2.31
Si  0.6267  0.1250  0.2500  2 Cu 2.30, 2 P 2.31
Si  0.1233  0.6250  0.2500  2 Cu 2.30, 2 P 2.31
Si  0.3750  0.3733  0.7500  2 Cu 2.30, 2 P 2.31
Si  0.8750  0.8767  0.7500  2 Cu 2.30, 2 P 2.31
Cu  0.0000  0.0000  0.0000  4 Si 2.30
Cu  0.7500  0.2500  0.5000  4 Si 2.30

Calculated values
Space group ... No. 122
Uncorrected formation energy ... 0.175 eV per atom

***

Compound: CeCdInAu
Source: Alexandria
Functional: PBE-GGA
Structure: relaxed

Unit cell a=5.1164 b=5.1164 c=5.1164 alpha=60.00 beta=60.00 gamma=60.00
Closest atoms and distances in Å follow each position.
Fractional coordinates of all 4 atoms:
Cd  0.7500  0.7500  0.7500  4 In 3.13, 4 Au 3.13
Au  0.0000  0.0000  0.0000  4 Cd 3.13, 4 Ce 3.13
Ce  0.2500  0.2500  0.2500  4 In 3.13, 4 Au 3.13
In  0.5000  0.5000  0.5000  4 Ce 3.13, 4 Cd 3.13

Calculated values
ΔE_f ... -0.415 eV/atom
Space group ... No. 216

***

Compound: Mn2TcSb
Source: Alexandria
Functional: PBE-GGA
Structure: relaxed

Unit cell a=3.1245 b=3.1245 c=5.9989 alpha=90.00 beta=90.00 gamma=90.00
Closest atoms and distances in Å follow each position.
Fractional coordinates of all 4 atoms:
Mn  0.0000  0.0000  0.0070  4 Mn 2.62, 4 Tc 2.65, 1 Sb 2.89
Mn  0.5000  0.5000  0.2407  4 Mn 2.62, 4 Sb 2.67, 1 Tc 2.87
Sb  0.0000  0.0000  0.4892  5 Mn 2.67-2.89, 4 Tc 2.75
Tc  0.5000  0.5000  0.7631  5 Mn 2.65-2.87, 4 Sb 2.75

Calculated values
Space group ... No. 99
Uncorrected formation energy ... 0.231 eV per atom